No. 1
The following is a PBE calculation of a relaxed RbMnRe3 crystal, from the Alexandria database.

Geometry as POSCAR:
```
RbMnRe3
1.0
4.6363 0.0000 0.0000
0.0000 4.6363 0.0000
0.0000 0.0000 4.6363
Re Mn Rb
3 1 1
direct
0.0000 0.5000 0.0000
0.0000 0.0000 0.5000
0.5000 0.0000 0.0000
0.0000 0.0000 0.0000
0.5000 0.5000 0.5000
```

Summary:
Crystal system: cubic
Fermi-level density of states, states/eV/cell: 4.369
ρ, g/cm3: 11.65
Total moment, μB per atom: 0.4800
Uncorrected energy, Ry/atom: -0.55141
ΔH_f (0 K), eV per atom: 1.9940

---

No. 2
The following is a PBE calculation of a relaxed LaPm4Er15 crystal, from the Alexandria database.

Geometry as POSCAR:
```
LaPm4Er15
1.0
5.0262 0.0000 0.0000
0.0000 5.0262 0.0000
0.0000 0.0000 25.0107
La Pm Er
1 4 15
direct
0.0000 0.0000 0.0000
0.0000 0.0000 0.2006
0.0000 0.0000 0.4004
0.0000 0.0000 0.5996
0.0000 0.0000 0.7994
0.5000 0.5000 0.0000
0.5000 0.5000 0.2012
0.5000 0.5000 0.4003
0.5000 0.5000 0.5997
0.5000 0.5000 0.7988
0.5000 0.0000 0.1016
0.5000 0.0000 0.3007
0.5000 0.0000 0.5000
0.5000 0.0000 0.6993
0.5000 0.0000 0.8984
0.0000 0.5000 0.1016
0.0000 0.5000 0.3007
0.0000 0.5000 0.5000
0.0000 0.5000 0.6993
0.0000 0.5000 0.8984
```

Summary:
Crystal system: tetragonal
Fermi-level density of states, states/eV/cell: 27.684
ρ, g/cm3: 8.48
Total moment, μB per atom: 0.0000
Uncorrected energy, Ry/atom: -0.33762
ΔH_f (0 K), eV per atom: 0.0250

---

No. 3
The following is a PBE calculation of a relaxed CdInIrPd2 crystal, from the Alexandria database.

Geometry as POSCAR:
```
CdInIrPd2
1.0
-0.9419 3.2543 3.5401
-2.7674 -3.5084 2.4889
4.0118 -1.4570 2.4068
Cd Ir Pd In
1 1 2 1
direct
0.0000 0.5000 0.0000
0.0000 0.0000 0.0000
0.0000 0.0000 0.5000
0.5000 0.0000 0.0000
0.5000 0.5000 0.5000
```

Summary:
Crystal system: tetragonal
Fermi-level density of states, states/eV/cell: 6.366
ρ, g/cm3: 8.55
Total moment, μB per atom: 0.1665
Uncorrected energy, Ry/atom: -0.28166
ΔH_f (0 K), eV per atom: 0.7479

---

No. 4
The following is a PBE calculation of a relaxed TbNi4B4 crystal, from the Alexandria database.

Geometry as POSCAR:
```
TbNi4B4
1.0
-2.5185 2.2620 -1.6778
-5.2945 -3.8764 2.7213
-0.0922 4.1652 5.7538
Tb Ni B
2 8 8
direct
0.0000 0.0000 0.0000
0.5000 0.5000 0.5000
0.3949 0.3544 0.8927
0.8949 0.6073 0.8544
0.3949 0.6456 0.1073
0.1051 0.1456 0.6073
0.6051 0.8927 0.6456
0.1051 0.8544 0.3927
0.8949 0.3927 0.1456
0.6051 0.1073 0.3544
0.6033 0.8322 0.2944
0.6033 0.1678 0.7056
0.1033 0.7944 0.6678
0.8967 0.3322 0.7944
0.8967 0.6678 0.2056
0.3967 0.2944 0.1678
0.3967 0.7056 0.8322
0.1033 0.2056 0.3322
```

Summary:
Crystal system: tetragonal
Fermi-level density of states, states/eV/cell: 9.261
ρ, g/cm3: 7.61
Total moment, μB per atom: 0.0000
Uncorrected energy, Ry/atom: -0.47533
ΔH_f (0 K), eV per atom: -0.4155

---

No. 5
The following is a PBE calculation of a relaxed CaPmTc4 crystal, from the Alexandria database.

Geometry as POSCAR:
```
CaPmTc4
1.0
5.4415 0.0000 0.0000
2.7208 4.7125 0.0000
2.7208 1.5708 4.4430
Ca Tc Pm
1 4 1
direct
0.2500 0.2500 0.2500
0.6250 0.6250 0.1250
0.6250 0.1250 0.6250
0.6250 0.6250 0.6250
0.1250 0.6250 0.6250
0.0000 0.0000 0.0000
```

Summary:
Crystal system: cubic
Fermi-level density of states, states/eV/cell: 4.865
ρ, g/cm3: 8.41
Total moment, μB per atom: 0.0000
Uncorrected energy, Ry/atom: -0.58191
ΔH_f (0 K), eV per atom: 0.1187

---

No. 6
The following is a PBE calculation of a relaxed Ce2Y3HfN6 crystal, from the Alexandria database.

Geometry as POSCAR:
```
Ce2Y3HfN6
1.0
6.0007 0.0007 0.0017
-2.9983 5.1979 0.0017
-1.0003 -1.7320 5.6287
Ce Y Hf N
2 3 1 6
direct
0.3333 0.6667 0.0000
0.6667 0.3333 0.0000
0.1653 0.8347 0.5000
0.8347 0.1653 0.5000
0.5000 0.5000 0.5000
0.0000 0.0000 0.0000
0.9205 0.6046 0.7615
0.7647 0.7647 0.2412
0.0795 0.3954 0.2385
0.6046 0.9205 0.7615
0.2353 0.2353 0.7588
0.3954 0.0795 0.2385
```

Summary:
Crystal system: monoclinic
Fermi-level density of states, states/eV/cell: 6.691
Energy relative to the elements, uncorrected, meV per atom: -1636
ρ, g/cm3: 7.65
Total moment, μB per atom: 0.0001
Uncorrected energy, Ry/atom: -0.67860